Ge2TeCl PBE relaxed; space-group type = Fm-3m, No. 225; size of the total moment = 0.000 μB/f.u.; energy relative to the elements, uncorrected = 14.6 meV/atom
1.0
0.000 3.574 3.574
3.574 0.000 3.574
3.574 3.574 0.000
Ge Te Cl
2 1 1
Direct
0.250 0.250 0.250
0.750 0.750 0.750
0.000 0.000 0.000
0.500 0.500 0.500